Record 1
Compound: BaVZn
Source: Alexandria
Functional: GGA-PBE
Structure: optimized geometry

Calculated values
Calculated formation energy: 0.287 eV per atom

a = 4.081 Å, b = 6.961 Å, c = 12.059 Å
α = 90.00°, β = 90.00°, γ = 90.00°
Fractional positions:
Ba: 0.000 0.000 0.172
Ba: 0.000 0.000 0.828
Ba: 0.500 0.500 0.328
Ba: 0.500 0.500 0.672
V: 0.000 0.500 0.078
V: 0.000 0.500 0.922
V: 0.500 0.000 0.422
V: 0.500 0.000 0.578
Zn: 0.000 0.208 0.500
Zn: 0.000 0.792 0.500
Zn: 0.500 0.292 0.000
Zn: 0.500 0.708 0.000


Record 2
Compound: Na4Er3PuS8
Source: Alexandria
Functional: GGA-PBE
Structure: optimized geometry

Calculated values
ΔE_f (raw): -1.763 eV/atom

a = 8.094 Å, b = 8.094 Å, c = 8.094 Å
α = 58.88°, β = 58.88°, γ = 58.88°
Fractional positions:
Na: 0.000 0.000 0.000
Na: 0.000 0.500 0.500
Na: 0.500 0.000 0.500
Na: 0.500 0.500 0.000
Er: 0.000 0.000 0.500
Er: 0.000 0.500 0.000
Er: 0.500 0.000 0.000
Pu: 0.500 0.500 0.500
S: 0.237 0.744 0.744
S: 0.242 0.242 0.242
S: 0.256 0.256 0.763
S: 0.256 0.763 0.256
S: 0.744 0.237 0.744
S: 0.744 0.744 0.237
S: 0.758 0.758 0.758
S: 0.763 0.256 0.256


Record 3
Compound: BaSiBr2
Source: Alexandria
Functional: GGA-PBE
Structure: optimized geometry

Calculated values
ΔE_f (raw): -0.652 eV/atom

a = 3.984 Å, b = 3.984 Å, c = 8.899 Å
α = 90.00°, β = 90.00°, γ = 90.00°
Fractional positions:
Ba: 0.000 0.000 0.000
Si: 0.500 0.500 0.700
Br: 0.000 0.000 0.635
Br: 0.500 0.500 0.193


Record 4
Compound: Mn2FeOs
Source: Alexandria
Functional: GGA-PBE
Structure: optimized geometry

Calculated values
Calculated formation energy: 0.169 eV per atom

a = 2.907 Å, b = 4.106 Å, c = 4.147 Å
α = 90.00°, β = 90.00°, γ = 90.00°
Fractional positions:
Mn: 0.000 0.000 0.000
Mn: 0.500 0.000 0.500
Fe: 0.000 0.500 0.500
Os: 0.500 0.500 0.000


Record 5
Compound: Ac2ZnPd3
Source: Alexandria
Functional: GGA-PBE
Structure: optimized geometry

Calculated values
Calculated formation energy: -0.749 eV per atom

a = 9.123 Å, b = 8.910 Å, c = 6.138 Å
α = 71.98°, β = 68.24°, γ = 39.78°
Fractional positions:
Ac: 0.245 0.755 0.755
Ac: 0.250 0.250 0.250
Ac: 0.750 0.750 0.750
Ac: 0.755 0.245 0.245
Zn: 0.334 0.334 0.666
Zn: 0.666 0.666 0.334
Pd: 0.173 0.173 0.827
Pd: 0.174 0.654 0.346
Pd: 0.346 0.826 0.174
Pd: 0.654 0.174 0.826
Pd: 0.826 0.346 0.654
Pd: 0.827 0.827 0.173


Record 6
Compound: Zn2InSe
Source: Alexandria
Functional: GGA-PBE
Structure: optimized geometry

Calculated values
ΔE_f (raw): 0.068 eV/atom

a = 5.681 Å, b = 7.896 Å, c = 3.722 Å
α = 90.00°, β = 90.00°, γ = 90.00°
Fractional positions:
Zn: 0.250 0.250 0.000
Zn: 0.250 0.750 0.000
Zn: 0.750 0.250 0.000
Zn: 0.750 0.750 0.000
In: 0.000 0.000 0.500
In: 0.500 0.500 0.500
Se: 0.000 0.500 0.500
Se: 0.500 0.000 0.500


Record 7
Compound: NbTl3Rh2S6
Source: Alexandria
Functional: GGA-PBE
Structure: optimized geometry

Calculated values
ΔE_f (raw): -0.468 eV/atom

a = 6.150 Å, b = 6.150 Å, c = 8.650 Å
α = 98.89°, β = 98.89°, γ = 122.79°
Fractional positions:
Nb: 0.000 0.000 0.000
Tl: 0.172 0.828 0.500
Tl: 0.500 0.500 0.500
Tl: 0.828 0.172 0.500
Rh: 0.339 0.661 0.000
Rh: 0.661 0.339 0.000
S: 0.065 0.416 0.164
S: 0.268 0.268 0.827
S: 0.416 0.065 0.164
S: 0.584 0.935 0.836
S: 0.732 0.732 0.173
S: 0.935 0.584 0.836


Record 8
Compound: Tl3Hg4Te2
Source: Alexandria
Functional: GGA-PBE
Structure: optimized geometry

Calculated values
ΔE_f (raw): -0.140 eV/atom

a = 6.914 Å, b = 6.914 Å, c = 9.918 Å
α = 110.32°, β = 110.32°, γ = 42.05°
Fractional positions:
Tl: 0.000 0.000 0.000
Tl: 0.311 0.311 0.373
Tl: 0.689 0.689 0.627
Hg: 0.024 0.024 0.660
Hg: 0.250 0.250 0.923
Hg: 0.750 0.750 0.077
Hg: 0.976 0.976 0.340
Te: 0.386 0.386 0.731
Te: 0.614 0.614 0.269


Record 9
Compound: PrY7Tl4
Source: Alexandria
Functional: GGA-PBE
Structure: optimized geometry

Calculated values
Calculated formation energy: -0.055 eV per atom

a = 7.881 Å, b = 7.881 Å, c = 10.492 Å
α = 120.91°, β = 120.91°, γ = 42.64°
Fractional positions:
Pr: 0.000 0.000 0.000
Y: 0.062 0.062 0.395
Y: 0.210 0.210 0.878
Y: 0.281 0.281 0.344
Y: 0.500 0.500 0.000
Y: 0.719 0.719 0.656
Y: 0.790 0.790 0.122
Y: 0.938 0.938 0.605
Tl: 0.314 0.314 0.668
Tl: 0.437 0.437 0.243
Tl: 0.563 0.563 0.757
Tl: 0.686 0.686 0.332


Record 10
Compound: Al2Ag2Pb
Source: Alexandria
Functional: GGA-PBE
Structure: optimized geometry

Calculated values
Calculated formation energy: 0.116 eV per atom

a = 8.143 Å, b = 8.143 Å, c = 3.058 Å
α = 90.00°, β = 90.00°, γ = 90.00°
Fractional positions:
Al: 0.165 0.335 0.000
Al: 0.335 0.835 0.000
Al: 0.665 0.165 0.000
Al: 0.835 0.665 0.000
Ag: 0.129 0.629 0.500
Ag: 0.371 0.129 0.500
Ag: 0.629 0.871 0.500
Ag: 0.871 0.371 0.500
Pb: 0.000 0.000 0.500
Pb: 0.500 0.500 0.500


Record 11
Compound: KNpUSe4
Source: Alexandria
Functional: GGA-PBE
Structure: optimized geometry

Calculated values
ΔE_f (raw): -1.175 eV/atom

a = 8.781 Å, b = 8.781 Å, c = 8.781 Å
α = 120.41°, β = 119.97°, γ = 89.68°
Fractional positions:
K: 0.375 0.125 0.250
K: 0.625 0.875 0.750
Np: 0.000 0.500 0.500
Np: 0.500 0.500 0.000
U: 0.000 0.000 0.500
U: 0.000 0.500 0.000
Se: 0.195 0.733 0.462
Se: 0.228 0.263 0.534
Se: 0.228 0.694 0.966
Se: 0.229 0.267 0.962
Se: 0.771 0.733 0.038
Se: 0.772 0.306 0.034
Se: 0.772 0.737 0.466
Se: 0.805 0.267 0.538


Record 12
Compound: US2IO8
Source: Alexandria
Functional: GGA-PBE
Structure: optimized geometry

Calculated values
ΔE_f (raw): -1.552 eV/atom

a = 6.041 Å, b = 6.041 Å, c = 6.498 Å
α = 90.00°, β = 90.00°, γ = 120.00°
Fractional positions:
U: 0.000 0.000 0.000
S: 0.333 0.667 0.784
S: 0.667 0.333 0.216
I: 0.000 0.000 0.500
O: 0.201 0.401 0.874
O: 0.201 0.799 0.874
O: 0.333 0.667 0.564
O: 0.401 0.201 0.126
O: 0.599 0.799 0.874
O: 0.667 0.333 0.436
O: 0.799 0.201 0.126
O: 0.799 0.599 0.126


Record 13
Compound: Zr2Zn3Ni4
Source: Alexandria
Functional: GGA-PBE
Structure: optimized geometry

Calculated values
Calculated formation energy: -0.314 eV per atom

a = 7.854 Å, b = 7.854 Å, c = 6.920 Å
α = 90.00°, β = 90.00°, γ = 142.16°
Fractional positions:
Zr: 0.104 0.896 0.911
Zr: 0.396 0.604 0.411
Zr: 0.604 0.396 0.589
Zr: 0.896 0.104 0.089
Zn: 0.000 0.000 0.500
Zn: 0.015 0.485 0.750
Zn: 0.485 0.015 0.250
Zn: 0.500 0.500 0.000
Zn: 0.515 0.985 0.750
Zn: 0.985 0.515 0.250
Ni: 0.166 0.834 0.520
Ni: 0.181 0.319 0.750
Ni: 0.319 0.181 0.250
Ni: 0.334 0.666 0.020
Ni: 0.666 0.334 0.980
Ni: 0.681 0.819 0.750
Ni: 0.819 0.681 0.250
Ni: 0.834 0.166 0.480


Record 14
Compound: Zr2BP
Source: Alexandria
Functional: GGA-PBE
Structure: optimized geometry

Calculated values
Calculated formation energy: -0.497 eV per atom

a = 6.672 Å, b = 6.672 Å, c = 6.049 Å
α = 90.00°, β = 90.00°, γ = 90.00°
Fractional positions:
Zr: 0.227 0.250 0.125
Zr: 0.250 0.727 0.375
Zr: 0.250 0.773 0.875
Zr: 0.273 0.250 0.625
Zr: 0.727 0.750 0.625
Zr: 0.750 0.227 0.875
Zr: 0.750 0.273 0.375
Zr: 0.773 0.750 0.125
B: 0.000 0.000 0.000
B: 0.000 0.500 0.250
B: 0.500 0.000 0.750
B: 0.500 0.500 0.500
P: 0.000 0.000 0.500
P: 0.000 0.500 0.750
P: 0.500 0.000 0.250
P: 0.500 0.500 0.000


Record 15
Compound: LiTlRu3
Source: Alexandria
Functional: GGA-PBE
Structure: optimized geometry

Calculated values
Calculated formation energy: 2.094 eV per atom

a = 5.054 Å, b = 5.054 Å, c = 5.054 Å
α = 90.00°, β = 90.00°, γ = 90.00°
Fractional positions:
Li: 0.000 0.000 0.000
Tl: 0.500 0.500 0.500
Ru: 0.000 0.500 0.500
Ru: 0.500 0.000 0.500
Ru: 0.500 0.500 0.000


Record 16
Compound: BaMgHg3
Source: Alexandria
Functional: GGA-PBE
Structure: optimized geometry

Calculated values
Calculated formation energy: -0.358 eV per atom

a = 9.849 Å, b = 5.529 Å, c = 10.671 Å
α = 90.00°, β = 90.00°, γ = 90.00°
Fractional positions:
Ba: 0.218 0.250 0.001
Ba: 0.282 0.750 0.501
Ba: 0.718 0.250 0.499
Ba: 0.782 0.750 0.999
Mg: 0.084 0.250 0.343
Mg: 0.416 0.750 0.843
Mg: 0.584 0.250 0.157
Mg: 0.916 0.750 0.657
Hg: 0.076 0.250 0.614
Hg: 0.118 0.750 0.175
Hg: 0.123 0.750 0.836
Hg: 0.377 0.250 0.336
Hg: 0.382 0.250 0.675
Hg: 0.424 0.750 0.114
Hg: 0.576 0.250 0.886
Hg: 0.618 0.750 0.325
Hg: 0.623 0.750 0.664
Hg: 0.877 0.250 0.164
Hg: 0.882 0.250 0.825
Hg: 0.924 0.750 0.386


Record 17
Compound: Y2SbRu
Source: Alexandria
Functional: GGA-PBE
Structure: optimized geometry

Calculated values
ΔE_f (raw): -0.533 eV/atom

a = 3.437 Å, b = 4.732 Å, c = 11.866 Å
α = 90.00°, β = 90.00°, γ = 90.00°
Fractional positions:
Y: 0.000 0.000 0.000
Y: 0.000 0.500 0.214
Y: 0.500 0.000 0.714
Y: 0.500 0.500 0.500
Sb: 0.000 0.000 0.399
Sb: 0.500 0.500 0.899
Ru: 0.000 0.500 0.717
Ru: 0.500 0.000 0.217


Record 18
Compound: AlReMo2
Source: Alexandria
Functional: GGA-PBE
Structure: optimized geometry

Calculated values
Calculated formation energy: 0.056 eV per atom

a = 5.336 Å, b = 8.283 Å, c = 2.788 Å
α = 90.00°, β = 90.00°, γ = 90.00°
Fractional positions:
Al: 0.000 0.000 0.000
Al: 0.500 0.500 0.000
Re: 0.000 0.500 0.000
Re: 0.500 0.000 0.000
Mo: 0.250 0.250 0.500
Mo: 0.250 0.750 0.500
Mo: 0.750 0.250 0.500
Mo: 0.750 0.750 0.500


Record 19
Compound: SrLiDyPt
Source: Alexandria
Functional: GGA-PBE
Structure: optimized geometry

Calculated values
Calculated formation energy: -0.455 eV per atom

a = 7.259 Å, b = 7.259 Å, c = 7.259 Å
α = 90.00°, β = 90.00°, γ = 90.00°
Fractional positions:
Sr: 0.000 0.000 0.000
Sr: 0.000 0.500 0.500
Sr: 0.500 0.000 0.500
Sr: 0.500 0.500 0.000
Li: 0.250 0.250 0.750
Li: 0.250 0.750 0.250
Li: 0.750 0.250 0.250
Li: 0.750 0.750 0.750
Dy: 0.000 0.000 0.500
Dy: 0.000 0.500 0.000
Dy: 0.500 0.000 0.000
Dy: 0.500 0.500 0.500
Pt: 0.250 0.250 0.250
Pt: 0.250 0.750 0.750
Pt: 0.750 0.250 0.750
Pt: 0.750 0.750 0.250


Record 20
Compound: LiOsPd2
Source: Alexandria
Functional: GGA-PBE
Structure: optimized geometry

Calculated values
Calculated formation energy: 0.271 eV per atom

a = 6.158 Å, b = 6.158 Å, c = 6.158 Å
α = 90.00°, β = 90.00°, γ = 90.00°
Fractional positions:
Li: 0.000 0.000 0.000
Li: 0.000 0.500 0.500
Li: 0.500 0.000 0.500
Li: 0.500 0.500 0.000
Os: 0.000 0.000 0.500
Os: 0.000 0.500 0.000
Os: 0.500 0.000 0.000
Os: 0.500 0.500 0.500
Pd: 0.250 0.250 0.250
Pd: 0.250 0.250 0.750
Pd: 0.250 0.750 0.250
Pd: 0.250 0.750 0.750
Pd: 0.750 0.250 0.250
Pd: 0.750 0.250 0.750
Pd: 0.750 0.750 0.250
Pd: 0.750 0.750 0.750